PuNpAgRh | PBE | relaxed

Calculated values
energy of formation from the pure elements	-5	kJ per mole of atoms

Unit cell a=6.7306 b=6.7306 c=6.7306 alpha=90.00 beta=90.00 gamma=90.00
Element x y z (fractional)
1 Pu 0.0000 0.0000 0.0000
2 Pu 0.0000 0.5000 0.5000
3 Pu 0.5000 0.0000 0.5000
4 Pu 0.5000 0.5000 0.0000
5 Np 0.2500 0.2500 0.7500
6 Np 0.2500 0.7500 0.2500
7 Np 0.7500 0.2500 0.2500
8 Np 0.7500 0.7500 0.7500
9 Ag 0.2500 0.2500 0.2500
10 Ag 0.2500 0.7500 0.7500
11 Ag 0.7500 0.2500 0.7500
12 Ag 0.7500 0.7500 0.2500
13 Rh 0.0000 0.0000 0.5000
14 Rh 0.0000 0.5000 0.0000
15 Rh 0.5000 0.0000 0.0000
16 Rh 0.5000 0.5000 0.5000